The following is a DFT calculation (PBE) of crystalline AcErAu2 at its relaxed geometry.

a = 3.691 Å, b = 3.691 Å, c = 7.619 Å
α = 90.00°, β = 90.00°, γ = 90.00°
Atoms (fractional coordinates):
Er: 0.500 0.500 0.000
Au: 0.000 0.000 0.789
Ac: 0.500 0.500 0.500
Au: 0.000 0.000 0.211

- calculated formation energy (eV/atom) = -0.811
- total moment (Bohr magnetons per cell) = 0.000

The following is a DFT calculation (PBE) of crystalline LaAuBr2 at its relaxed geometry.

a = 5.576 Å, b = 5.576 Å, c = 5.576 Å
α = 128.47°, β = 128.50°, γ = 75.84°
Atoms (fractional coordinates):
Au: 0.750 0.250 0.500
Br: 0.000 0.000 0.000
La: 0.250 0.750 0.500
Br: 0.500 0.500 0.000

- total moment (Bohr magnetons per cell) = 0.000
- formation energy without anion corrections (eV/atom) = -1.129

The following is a DFT calculation (PBE) of crystalline Pu2TlRu at its relaxed geometry.

a = 3.269 Å, b = 3.269 Å, c = 8.659 Å
α = 90.00°, β = 90.00°, γ = 90.00°
Site moments in Bohr magnetons follow the coordinates.
Atoms (fractional coordinates):
Tl: 0.500 0.500 0.500  -0.05
Ru: 0.500 0.500 0.000  -0.76
Pu: 0.000 0.000 0.796  5.18
Pu: 0.000 0.000 0.204  5.18

- calculated formation energy (eV/atom) = -0.134
- total moment (Bohr magnetons per cell) = 9.899

We obtain final energy values of -4.617, -4.017, -10.211 eV/atom for the records listed above, in that order.
We obtain energy above the most stable polymorph in this dataset values of 22, 173, 0 meV/atom for the records listed above, in that order.